Density functional theory data (PBE) for crystalline AcTlGe at its relaxed geometry.

Polymorph energy (0 for the lowest one) ... 222 meV per atom
Final energy ... -47.6 eV for the cell shown

The structure in CIF format:
```
data_AcTlGe
_chemical_formula_sum 'Ac4 Tl4 Ge4'
_cell_length_a 7.333
_cell_length_b 7.333
_cell_length_c 7.333
_cell_angle_alpha 90.00
_cell_angle_beta 90.00
_cell_angle_gamma 90.00
_symmetry_space_group_name_H-M 'F -4 3 m'
_symmetry_Int_Tables_number 216
_symmetry_space_group_name_Hall 'F -4 2 3'
loop_
_atom_site_label
_atom_site_type_symbol
_atom_site_fract_x
_atom_site_fract_y
_atom_site_fract_z
Ac1 Ac 0.000 0.000 0.000
Tl1 Tl 0.000 0.000 0.500
Ge1 Ge 0.250 0.250 0.750
```

Density functional theory data (PBE) for crystalline AcTlGe2 at its relaxed geometry.

Polymorph energy (0 for the lowest one) ... 196 meV per atom
Final energy ... -16.3 eV for the cell shown

The structure in CIF format:
```
data_AcTlGe2
_chemical_formula_sum 'Ac1 Tl1 Ge2'
_cell_length_a 3.988
_cell_length_b 3.988
_cell_length_c 6.775
_cell_angle_alpha 90.00
_cell_angle_beta 90.00
_cell_angle_gamma 90.00
_symmetry_space_group_name_H-M 'P 4/m m m'
_symmetry_Int_Tables_number 123
_symmetry_space_group_name_Hall '-P 4 2'
loop_
_atom_site_label
_atom_site_type_symbol
_atom_site_fract_x
_atom_site_fract_y
_atom_site_fract_z
Ac1 Ac 0.000 0.000 0.000
Tl1 Tl 0.000 0.000 0.500
Ge1 Ge 0.500 0.500 0.302
```

Density functional theory data (PBE) for crystalline AcTlGe at its relaxed geometry.

Polymorph energy (0 for the lowest one) ... 192 meV per atom
Final energy ... -47.9 eV for the cell shown

The structure in CIF format:
```
data_AcTlGe
_chemical_formula_sum 'Ac4 Tl4 Ge4'
_cell_length_a 13.801
_cell_length_b 5.257
_cell_length_c 5.015
_cell_angle_alpha 90.00
_cell_angle_beta 90.09
_cell_angle_gamma 90.00
_symmetry_space_group_name_H-M 'C 1 2/m 1'
_symmetry_Int_Tables_number 12
loop_
_symmetry_equiv_pos_as_xyz
'x,y,z'
'-x,-y,-z'
'-x,y,-z'
'x,-y,z'
'x+1/2,y+1/2,z'
'-x+1/2,-y+1/2,-z'
'-x+1/2,y+1/2,-z'
'x+1/2,-y+1/2,z'
loop_
_atom_site_label
_atom_site_type_symbol
_atom_site_fract_x
_atom_site_fract_y
_atom_site_fract_z
Ac1 Ac 0.119 0.000 0.251
Tl1 Tl 0.087 0.500 0.751
Ge1 Ge 0.246 0.500 0.249
```

Density functional theory data (PBE) for crystalline Ac5Tl2Ge2 at its relaxed geometry.

Polymorph energy (0 for the lowest one) ... 0 meV per atom
Final energy ... -155.8 eV for the cell shown

The structure in CIF format:
```
data_Ac5Tl2Ge2
_chemical_formula_sum 'Ac20 Tl8 Ge8'
_cell_length_a 17.131
_cell_length_b 8.586
_cell_length_c 8.666
_cell_angle_alpha 90.00
_cell_angle_beta 90.00
_cell_angle_gamma 90.00
_symmetry_space_group_name_H-M 'C m c e'
_symmetry_Int_Tables_number 64
_symmetry_space_group_name_Hall '-C 2ac 2'
loop_
_atom_site_label
_atom_site_type_symbol
_atom_site_fract_x
_atom_site_fract_y
_atom_site_fract_z
Ac1 Ac 0.000 0.000 0.000
Ac2 Ac 0.128 0.172 0.333
Tl1 Tl 0.211 0.000 0.000
Ge1 Ge 0.000 0.133 0.636
```

Density functional theory data (PBE) for crystalline Ac7Tl2Ge2 at its relaxed geometry.

Final energy ... -91.0 eV for the cell shown

The structure in CIF format:
```
data_Ac7Tl2Ge2
_chemical_formula_sum 'Ac14 Tl4 Ge4'
_cell_length_a 8.972
_cell_length_b 12.084
_cell_length_c 7.862
_cell_angle_alpha 90.00
_cell_angle_beta 90.00
_cell_angle_gamma 90.00
_symmetry_space_group_name_H-M 'C m m m'
_symmetry_Int_Tables_number 65
_symmetry_space_group_name_Hall '-C 2 2'
loop_
_atom_site_label
_atom_site_type_symbol
_atom_site_fract_x
_atom_site_fract_y
_atom_site_fract_z
Ac1 Ac 0.000 0.000 0.000
Ac2 Ac 0.000 0.500 0.244
Ac3 Ac 0.250 0.250 0.272
Tl1 Tl 0.172 0.000 0.500
Ge1 Ge 0.000 0.275 0.000
```

Density functional theory data (PBE) for crystalline AcTmTlGe at its relaxed geometry.

Final energy ... -68.1 eV for the cell shown

The structure in CIF format:
```
data_AcTmTlGe
_chemical_formula_sum 'Ac4 Tm4 Tl4 Ge4'
_cell_length_a 7.701
_cell_length_b 7.701
_cell_length_c 7.701
_cell_angle_alpha 90.00
_cell_angle_beta 90.00
_cell_angle_gamma 90.00
_symmetry_space_group_name_H-M 'F -4 3 m'
_symmetry_Int_Tables_number 216
_symmetry_space_group_name_Hall 'F -4 2 3'
loop_
_atom_site_label
_atom_site_type_symbol
_atom_site_fract_x
_atom_site_fract_y
_atom_site_fract_z
Ac1 Ac 0.000 0.000 0.000
Tm1 Tm 0.000 0.000 0.500
Tl1 Tl 0.250 0.250 0.750
Ge1 Ge 0.250 0.250 0.250
```

Density functional theory data (PBE) for crystalline AcYTlGe at its relaxed geometry.

Final energy ... -76.7 eV for the cell shown

The structure in CIF format:
```
data_AcYTlGe
_chemical_formula_sum 'Ac4 Y4 Tl4 Ge4'
_cell_length_a 7.743
_cell_length_b 7.743
_cell_length_c 7.743
_cell_angle_alpha 90.00
_cell_angle_beta 90.00
_cell_angle_gamma 90.00
_symmetry_space_group_name_H-M 'F -4 3 m'
_symmetry_Int_Tables_number 216
_symmetry_space_group_name_Hall 'F -4 2 3'
loop_
_atom_site_label
_atom_site_type_symbol
_atom_site_fract_x
_atom_site_fract_y
_atom_site_fract_z
Ac1 Ac 0.000 0.000 0.000
Y1 Y 0.000 0.000 0.500
Tl1 Tl 0.250 0.250 0.750
Ge1 Ge 0.250 0.250 0.250
```

Density functional theory data (PBE) for crystalline AcTm2Ge4 at its relaxed geometry.

Final energy ... -73.2 eV for the cell shown

The structure in CIF format:
```
data_AcTm2Ge4
_chemical_formula_sum 'Ac2 Tm4 Ge8'
_cell_length_a 3.951
_cell_length_b 4.352
_cell_length_c 19.655
_cell_angle_alpha 90.00
_cell_angle_beta 90.00
_cell_angle_gamma 90.00
_symmetry_space_group_name_H-M 'I m m m'
_symmetry_Int_Tables_number 71
_symmetry_space_group_name_Hall '-I 2 2'
loop_
_atom_site_label
_atom_site_type_symbol
_atom_site_fract_x
_atom_site_fract_y
_atom_site_fract_z
Ac1 Ac 0.000 0.000 0.000
Tm1 Tm 0.000 0.500 0.315
Ge1 Ge 0.000 0.000 0.420
Ge2 Ge 0.000 0.500 0.167
```

Density functional theory data (PBE) for crystalline Ac2TmGe3 at its relaxed geometry.

Final energy ... -60.2 eV for the cell shown

The structure in CIF format:
```
data_Ac2TmGe3
_chemical_formula_sum 'Ac4 Tm2 Ge6'
_cell_length_a 5.034
_cell_length_b 6.207
_cell_length_c 11.485
_cell_angle_alpha 90.00
_cell_angle_beta 90.00
_cell_angle_gamma 90.00
_symmetry_space_group_name_H-M 'I m m m'
_symmetry_Int_Tables_number 71
_symmetry_space_group_name_Hall '-I 2 2'
loop_
_atom_site_label
_atom_site_type_symbol
_atom_site_fract_x
_atom_site_fract_y
_atom_site_fract_z
Ac1 Ac 0.000 0.000 0.175
Tm1 Tm 0.000 0.000 0.500
Ge1 Ge 0.000 0.500 0.120
Ge2 Ge 0.000 0.500 0.500
```

Density functional theory data (PBE) for crystalline Ac2TmGe at its relaxed geometry.

Polymorph energy (0 for the lowest one) ... 0 meV per atom
Final energy ... -18.0 eV for the cell shown

The structure in CIF format:
```
data_Ac2TmGe
_chemical_formula_sum 'Ac2 Tm1 Ge1'
_cell_length_a 5.170
_cell_length_b 5.170
_cell_length_c 4.778
_cell_angle_alpha 90.00
_cell_angle_beta 90.00
_cell_angle_gamma 90.00
_symmetry_space_group_name_H-M 'P 4/m m m'
_symmetry_Int_Tables_number 123
_symmetry_space_group_name_Hall '-P 4 2'
loop_
_atom_site_label
_atom_site_type_symbol
_atom_site_fract_x
_atom_site_fract_y
_atom_site_fract_z
Ac1 Ac 0.000 0.500 0.000
Tm1 Tm 0.000 0.000 0.500
Ge1 Ge 0.500 0.500 0.500
```

Density functional theory data (PBE) for crystalline Ac4TmGe5 at its relaxed geometry.

Final energy ... -98.4 eV for the cell shown

The structure in CIF format:
```
data_Ac4TmGe5
_chemical_formula_sum 'Ac8 Tm2 Ge10'
_cell_length_a 10.049
_cell_length_b 10.049
_cell_length_c 6.345
_cell_angle_alpha 90.00
_cell_angle_beta 90.00
_cell_angle_gamma 90.00
_symmetry_space_group_name_H-M 'I 4'
_symmetry_Int_Tables_number 79
loop_
_symmetry_equiv_pos_as_xyz
'x,y,z'
'-y,x,z'
'-x,-y,z'
'y,-x,z'
'x+1/2,y+1/2,z+1/2'
'-y+1/2,x+1/2,z+1/2'
'-x+1/2,-y+1/2,z+1/2'
'y+1/2,-x+1/2,z+1/2'
loop_
_atom_site_label
_atom_site_type_symbol
_atom_site_fract_x
_atom_site_fract_y
_atom_site_fract_z
Ac1 Ac 0.092 0.301 0.000
Tm1 Tm 0.000 0.000 0.501
Ge1 Ge 0.000 0.000 0.004
Ge2 Ge 0.095 0.274 0.500
```

Density functional theory data (PBE) for crystalline AcTmGe3 at its relaxed geometry.

Final energy ... -103.2 eV for the cell shown

The structure in CIF format:
```
data_AcTmGe3
_chemical_formula_sum 'Ac4 Tm4 Ge12'
_cell_length_a 4.407
_cell_length_b 27.600
_cell_length_c 4.056
_cell_angle_alpha 90.00
_cell_angle_beta 90.00
_cell_angle_gamma 90.00
_symmetry_space_group_name_H-M 'C m c m'
_symmetry_Int_Tables_number 63
_symmetry_space_group_name_Hall '-C 2c 2'
loop_
_atom_site_label
_atom_site_type_symbol
_atom_site_fract_x
_atom_site_fract_y
_atom_site_fract_z
Ac1 Ac 0.000 0.076 0.250
Tm1 Tm 0.000 0.205 0.750
Ge1 Ge 0.000 0.309 0.750
Ge2 Ge 0.000 0.370 0.250
Ge3 Ge 0.000 0.473 0.250
```

Density functional theory data (PBE) for crystalline Ac3TmGe3 at its relaxed geometry.

Final energy ... -138.2 eV for the cell shown

The structure in CIF format:
```
data_Ac3TmGe3
_chemical_formula_sum 'Ac12 Tm4 Ge12'
_cell_length_a 8.834
_cell_length_b 13.433
_cell_length_c 8.047
_cell_angle_alpha 90.00
_cell_angle_beta 96.13
_cell_angle_gamma 90.00
_symmetry_space_group_name_H-M 'C 1 2/m 1'
_symmetry_Int_Tables_number 12
loop_
_symmetry_equiv_pos_as_xyz
'x,y,z'
'-x,-y,-z'
'-x,y,-z'
'x,-y,z'
'x+1/2,y+1/2,z'
'-x+1/2,-y+1/2,-z'
'-x+1/2,y+1/2,-z'
'x+1/2,-y+1/2,z'
loop_
_atom_site_label
_atom_site_type_symbol
_atom_site_fract_x
_atom_site_fract_y
_atom_site_fract_z
Ac1 Ac 0.000 0.166 0.000
Ac2 Ac 0.000 0.233 0.500
Ac3 Ac 0.113 0.500 0.845
Tm1 Tm 0.212 0.000 0.618
Ge1 Ge 0.081 0.000 0.288
Ge2 Ge 0.180 0.333 0.209
```

Density functional theory data (PBE) for crystalline Ac5TmGe4 at its relaxed geometry.

Final energy ... -97.0 eV for the cell shown

The structure in CIF format:
```
data_Ac5TmGe4
_chemical_formula_sum 'Ac10 Tm2 Ge8'
_cell_length_a 20.894
_cell_length_b 4.524
_cell_length_c 8.256
_cell_angle_alpha 90.00
_cell_angle_beta 113.26
_cell_angle_gamma 90.00
_symmetry_space_group_name_H-M 'C 1 2/m 1'
_symmetry_Int_Tables_number 12
loop_
_symmetry_equiv_pos_as_xyz
'x,y,z'
'-x,-y,-z'
'-x,y,-z'
'x,-y,z'
'x+1/2,y+1/2,z'
'-x+1/2,-y+1/2,-z'
'-x+1/2,y+1/2,-z'
'x+1/2,-y+1/2,z'
loop_
_atom_site_label
_atom_site_type_symbol
_atom_site_fract_x
_atom_site_fract_y
_atom_site_fract_z
Ac1 Ac 0.000 0.000 0.000
Ac2 Ac 0.161 0.500 0.411
Ac3 Ac 0.161 0.500 0.912
Tm1 Tm 0.000 0.000 0.500
Ge1 Ge 0.000 0.500 0.273
Ge2 Ge 0.196 0.000 0.697
```

Density functional theory data (PBE) for crystalline Ac3TmGe4 at its relaxed geometry.

Final energy ... -78.9 eV for the cell shown

The structure in CIF format:
```
data_Ac3TmGe4
_chemical_formula_sum 'Ac6 Tm2 Ge8'
_cell_length_a 12.081
_cell_length_b 6.388
_cell_length_c 6.189
_cell_angle_alpha 90.00
_cell_angle_beta 90.00
_cell_angle_gamma 90.00
_symmetry_space_group_name_H-M 'P m n 21'
_symmetry_Int_Tables_number 31
loop_
_symmetry_equiv_pos_as_xyz
'x,y,z'
'-x+1/2,-y,z+1/2'
'-x,y,z'
'x+1/2,-y,z+1/2'
loop_
_atom_site_label
_atom_site_type_symbol
_atom_site_fract_x
_atom_site_fract_y
_atom_site_fract_z
Ac1 Ac 0.000 0.081 0.000
Ac2 Ac 0.246 0.701 0.003
Tm1 Tm 0.000 0.565 0.501
Ge1 Ge 0.000 0.073 0.500
Ge2 Ge 0.000 0.556 0.000
Ge3 Ge 0.188 0.823 0.503
```

Density functional theory data (PBE) for crystalline Ac2TmGe at its relaxed geometry.

Polymorph energy (0 for the lowest one) ... 299 meV per atom
Final energy ... -50.4 eV for the cell shown

The structure in CIF format:
```
data_Ac2TmGe
_chemical_formula_sum 'Ac6 Tm3 Ge3'
_cell_length_a 3.8687
_cell_length_b 3.8687
_cell_length_c 34.9844
_cell_angle_alpha 90.00
_cell_angle_beta 90.00
_cell_angle_gamma 120.00
_symmetry_space_group_name_H-M 'R -3 m'
_symmetry_Int_Tables_number 166
_symmetry_space_group_name_Hall '-R 3 2"'
loop_
_atom_site_label
_atom_site_type_symbol
_atom_site_fract_x
_atom_site_fract_y
_atom_site_fract_z
Ac1 Ac 0.0000 0.0000 0.1039
Tm1 Tm 0.0000 0.0000 0.0000
Ge1 Ge 0.0000 0.0000 0.5000
```

Density functional theory data (PBE) for crystalline Ac5Tm2Ge5 at its relaxed geometry.

Final energy ... -120.1 eV for the cell shown

The structure in CIF format:
```
data_Ac5Tm2Ge5
_chemical_formula_sum 'Ac10 Tm4 Ge10'
_cell_length_a 14.749
_cell_length_b 4.473
_cell_length_c 12.678
_cell_angle_alpha 90.00
_cell_angle_beta 108.09
_cell_angle_gamma 90.00
_symmetry_space_group_name_H-M 'C 1 2/m 1'
_symmetry_Int_Tables_number 12
loop_
_symmetry_equiv_pos_as_xyz
'x,y,z'
'-x,-y,-z'
'-x,y,-z'
'x,-y,z'
'x+1/2,y+1/2,z'
'-x+1/2,-y+1/2,-z'
'-x+1/2,y+1/2,-z'
'x+1/2,-y+1/2,z'
loop_
_atom_site_label
_atom_site_type_symbol
_atom_site_fract_x
_atom_site_fract_y
_atom_site_fract_z
Ac1 Ac 0.000 0.000 0.000
Ac2 Ac 0.158 0.000 0.548
Ac3 Ac 0.243 0.000 0.854
Tm1 Tm 0.042 0.500 0.291
Ge1 Ge 0.000 0.500 0.500
Ge2 Ge 0.111 0.500 0.909
Ge3 Ge 0.173 0.000 0.295
```

Density functional theory data (PBE) for crystalline AcTm2Zn2Ge2 at its relaxed geometry.

Final energy ... -83.0 eV for the cell shown

The structure in CIF format:
```
data_AcTm2Zn2Ge2
_chemical_formula_sum 'Ac3 Tm6 Zn6 Ge6'
_cell_length_a 4.1876
_cell_length_b 4.1876
_cell_length_c 34.4275
_cell_angle_alpha 90.00
_cell_angle_beta 90.00
_cell_angle_gamma 120.00
_symmetry_space_group_name_H-M 'R -3 m'
_symmetry_Int_Tables_number 166
_symmetry_space_group_name_Hall '-R 3 2"'
loop_
_atom_site_label
_atom_site_type_symbol
_atom_site_fract_x
_atom_site_fract_y
_atom_site_fract_z
Ac1 Ac 0.0000 0.0000 0.0000
Tm1 Tm 0.0000 0.0000 0.1269
Zn1 Zn 0.0000 0.0000 0.3989
Ge1 Ge 0.0000 0.0000 0.2578
```

Density functional theory data (PBE) for crystalline AcUGe2 at its relaxed geometry.

Final energy ... -25.7 eV for the cell shown

The structure in CIF format:
```
data_AcUGe2
_chemical_formula_sum 'Ac1 U1 Ge2'
_cell_length_a 3.512
_cell_length_b 3.512
_cell_length_c 8.140
_cell_angle_alpha 90.00
_cell_angle_beta 90.00
_cell_angle_gamma 90.00
_symmetry_space_group_name_H-M 'P 4/m m m'
_symmetry_Int_Tables_number 123
_symmetry_space_group_name_Hall '-P 4 2'
loop_
_atom_site_label
_atom_site_type_symbol
_atom_site_fract_x
_atom_site_fract_y
_atom_site_fract_z
Ac1 Ac 0.000 0.000 0.000
U1 U 0.000 0.000 0.500
Ge1 Ge 0.500 0.500 0.272
```

Density functional theory data (PBE) for crystalline AcUGe3 at its relaxed geometry.

Final energy ... -28.9 eV for the cell shown

The structure in CIF format:
```
data_AcUGe3
_chemical_formula_sum 'Ac1 U1 Ge3'
_cell_length_a 5.316
_cell_length_b 5.316
_cell_length_c 5.316
_cell_angle_alpha 90.00
_cell_angle_beta 90.00
_cell_angle_gamma 90.00
_symmetry_space_group_name_H-M 'P m -3 m'
_symmetry_Int_Tables_number 221
_symmetry_space_group_name_Hall '-P 4 2 3'
loop_
_atom_site_label
_atom_site_type_symbol
_atom_site_fract_x
_atom_site_fract_y
_atom_site_fract_z
Ac1 Ac 0.000 0.000 0.000
U1 U 0.500 0.500 0.500
Ge1 Ge 0.000 0.500 0.500
```